1.
Computed, not measured: a relaxed structure of PtRhN at the PBE level of DFT.

Formation energy (no corrections) ... 27 kJ per mole of atoms
Symmetry ... No. 44
Size of the total moment ... 0.00 μB per cell
Offset from the most stable computed form ... 0.110 eV/atom

Geometry as extended XYZ:
```
6
Lattice="-1.389 1.869 7.652 1.389 -1.869 7.652 1.389 1.869 -7.652" Properties=species:S:1:pos:R:3 pbc="T T T"
Pt 0.000 0.000 0.000
Pt 0.000 0.000 2.894
Rh 0.000 0.000 9.116
Rh 0.000 0.000 11.998
N 1.389 -0.604 5.956
N 1.389 0.604 5.956
```

=====

2.
Computed, not measured: a relaxed structure of LiTl2SiIr at the PBE level of DFT.

Formation energy (no corrections) ... 59 kJ per mole of atoms
Symmetry ... No. 123
Size of the total moment ... 0.00 μB per cell

Geometry as extended XYZ:
```
5
Lattice="5.226 0.000 0.000 0.000 5.226 0.000 0.000 0.000 4.690" Properties=species:S:1:pos:R:3 pbc="T T T"
Li 0.000 0.000 0.000
Tl 0.000 2.613 2.345
Tl 2.613 0.000 2.345
Si 2.613 2.613 0.000
Ir 0.000 0.000 2.345
```

=====

3.
Computed, not measured: a relaxed structure of BeAgSb at the PBE level of DFT.

Formation energy (no corrections) ... 21 kJ per mole of atoms
Symmetry ... No. 1
Size of the total moment ... 0.00 μB per cell

Geometry as extended XYZ:
```
6
Lattice="4.336 0.000 0.000 0.733 4.459 0.000 1.648 1.446 6.032" Properties=species:S:1:pos:R:3 pbc="T T T"
Be 0.000 0.000 0.000
Be 2.159 0.938 0.768
Ag 2.022 3.182 1.807
Ag 4.615 5.163 5.103
Sb 2.452 3.468 4.688
Sb 4.261 1.234 2.244
```

=====

4.
Computed, not measured: a relaxed structure of Hf2NbCr2 at the PBE level of DFT.

Symmetry ... No. 127
VASP energy ... -9.66 eV per atom
Size of the total moment ... 0.00 μB per cell

Geometry as extended XYZ:
```
10
Lattice="6.274 0.000 0.000 0.000 6.274 0.000 0.000 0.000 4.484" Properties=species:S:1:pos:R:3 pbc="T T T"
Hf 1.114 2.022 0.000
Hf 2.022 5.159 0.000
Hf 4.251 1.114 0.000
Hf 5.159 4.251 0.000
Nb 0.000 0.000 2.242
Nb 3.137 3.137 2.242
Cr 0.760 3.897 2.242
Cr 2.377 0.760 2.242
Cr 3.897 5.514 2.242
Cr 5.514 2.377 2.242
```

=====

5.
Computed, not measured: a relaxed structure of YInAs2 at the PBE level of DFT.

Symmetry ... No. 216
VASP energy ... -4.78 eV per atom
Size of the total moment ... 0.00 μB per cell

Geometry as extended XYZ:
```
4
Lattice="0.000 3.603 3.603 3.603 0.000 3.603 3.603 3.603 0.000" Properties=species:S:1:pos:R:3 pbc="T T T"
Y 0.000 0.000 0.000
In 1.802 1.802 1.802
As 3.603 3.603 3.603
As 5.405 5.405 5.405
```

=====

6.
Computed, not measured: a relaxed structure of ScSiPb4 at the PBE level of DFT.

Formation energy (no corrections) ... 46 kJ per mole of atoms
Symmetry ... No. 216
Size of the total moment ... 0.00 μB per cell

Geometry as extended XYZ:
```
6
Lattice="0.000 4.468 4.468 4.468 0.000 4.468 4.468 4.468 0.000" Properties=species:S:1:pos:R:3 pbc="T T T"
Sc 0.000 0.000 0.000
Si 6.702 6.702 6.702
Pb 3.351 3.351 3.351
Pb 5.585 5.585 3.351
Pb 5.585 3.351 5.585
Pb 3.351 5.585 5.585
```

=====

7.
Computed, not measured: a relaxed structure of KSc2Pt at the PBE level of DFT.

Symmetry ... No. 12
Size of the total moment ... 0.00 μB per cell
Offset from the most stable computed form ... 0.003 eV/atom

Geometry as extended XYZ:
```
4
Lattice="3.513 -2.023 0.000 3.513 2.023 0.000 -2.297 0.000 9.301" Properties=species:S:1:pos:R:3 pbc="T T T"
K 0.000 0.000 0.000
Sc 0.024 0.000 5.887
Sc 4.705 0.000 3.414
Pt 2.365 0.000 4.650
```

=====

8.
Computed, not measured: a relaxed structure of LiPaIn2Se4 at the PBE level of DFT.

Formation energy (no corrections) ... -89 kJ per mole of atoms
Symmetry ... No. 10
Size of the total moment ... 0.00 μB per cell

Geometry as extended XYZ:
```
8
Lattice="6.853 0.000 0.000 0.000 4.206 0.000 -2.310 0.000 7.674" Properties=species:S:1:pos:R:3 pbc="T T T"
Li 0.000 0.000 0.000
Pa 3.426 2.103 0.000
In -1.155 2.103 3.837
In 2.271 0.000 3.837
Se 1.251 2.103 1.602
Se 0.001 0.000 6.111
Se 4.541 0.000 1.563
Se 3.291 2.103 6.072
```